No. 1
Here is ZnS after structural relaxation from Alexandria via LeMat-Bulk. Energies are from PBE.

## Properties
formation energy from raw total energies = -1.6 eV/f.u.
DOS(E_F) = 0.0 states/eV/f.u.
magnetization = 0.00 μB/cell
raw total energy = -3.508 eV/atom
calculated volume = 322.96 Å³ per cell

abc: 3.8495 3.8495 25.1664
angles: 90.00 90.00 120.00
Space group P3m1 (No. 156)
Asymmetric unit:
Zn 0.0000 0.0000 0.0000
Zn 0.0000 0.0000 0.2502
Zn 0.0000 0.0000 0.6251
Zn 0.3333 0.6667 0.1250
Zn 0.3333 0.6667 0.3753
Zn 0.3333 0.6667 0.7500
Zn 0.6667 0.3333 0.5003
Zn 0.6667 0.3333 0.8751
S 0.0000 0.0000 0.0937
S 0.0000 0.0000 0.3441
S 0.0000 0.0000 0.7188
S 0.3333 0.6667 0.2188
S 0.3333 0.6667 0.4690
S 0.3333 0.6667 0.8438
S 0.6667 0.3333 0.5939
S 0.6667 0.3333 0.9688

---

No. 2
Here is Mg2TlCr after structural relaxation from Alexandria via LeMat-Bulk. Energies are from PBE.

## Properties
energy above the most stable polymorph in this dataset = 27.0 meV/atom
DOS(E_F) = 1.9 states/eV/f.u.
magnetization = 7.91 μB/cell
raw total energy = -3.528 eV/atom
calculated volume = 168.41 Å³ per cell
energy relative to the elements = 25.7 kJ per mole of atoms

abc: 4.169 4.463 9.051
angles: 90.00 90.00 90.00
Space group Immm (No. 71)
Asymmetric unit:
Mg 0.000 0.000 0.248
Tl 0.000 0.500 0.000
Cr 0.000 0.500 0.500

---

Number 1: calculated density 4.01 g/cm3. Number 2: calculated density 6.01 g/cm3.